! GaCoPtO4 | Alexandria | PBE+U | optimized geometry; values from VASP
&SYSTEM
  ibrav = 0, nat = 14, ntyp = 4
/
ATOMIC_SPECIES
Ga 69.72 Ga.upf
Co 58.93 Co.upf
Pt 195.08 Pt.upf
O 16.00 O.upf
CELL_PARAMETERS angstrom
-2.9713 3.0315 4.5597
2.9713 -3.0315 4.5597
2.9713 3.0315 -4.5597
ATOMIC_POSITIONS angstrom
Ga -1.4856 1.5158 2.2799
Ga 1.4856 1.5158 2.2799
Co 2.9713 1.5158 -1.1063
Co 0.0000 1.5158 5.6661
Pt 0.0000 0.0000 0.0000
Pt 0.0000 3.0315 0.0000
O 2.9713 0.1682 2.2014
O 1.3871 1.5158 0.2102
O 1.5841 -1.5158 4.7699
O 0.0000 0.1682 2.3583
O 2.9713 2.8633 2.2014
O 1.3871 4.5473 -0.2102
O 1.5841 1.5158 4.3496
O 0.0000 2.8633 2.3583
! Uncorrected energy in eV per atom: -5.84
! ρ in g cm⁻³: 7.8
! Total magnetic moment in μB per formula unit: 3.8